PrMg2Zn2Si2 | PBE | relaxed

a = 4.3353 Å, b = 4.3353 Å, c = 8.8416 Å
α = 75.81°, β = 75.81°, γ = 60.00°
With the nearest neighbours (Å) after each atom.
Positions (direct):
Pr  0.0000  0.0000  0.0000  6 Zn 3.13, 6 Si 3.33, 2 Mg 3.45
Mg  0.1354  0.1354  0.5937  4 Si 2.80-2.84, 3 Zn 2.95, 3 Mg 2.97
Mg  0.8646  0.8646  0.4063  4 Si 2.80-2.84, 3 Zn 2.95, 3 Mg 2.97
Zn  0.5925  0.5925  0.2224  3 Si 2.52
Zn  0.4075  0.4075  0.7776  3 Si 2.52
Si  0.7530  0.7530  0.7411  3 Zn 2.52, 3 Mg 2.80
Si  0.2470  0.2470  0.2589  3 Zn 2.52, 3 Mg 2.80

Results
The total energy comes out at -3.302 eV/atom. The total magnetization comes out at 0.00 μB per cell. Its energy relative to the elements, uncorrected is -5.8 kcal/mol of atoms. Its space-group type is R-3m.